A plane-wave DFT calculation with PBE was carried out for Mg8Tl4Pb3 after structural relaxation.

```
15
Lattice="6.040 -6.138 0.000 6.040 6.138 0.000 -3.476 0.000 5.528" Properties=species:S:1:pos:R:3 pbc="T T T"
Mg 6.040 4.503 0.000
Mg 1.216 0.000 2.646
Mg -0.567 0.000 5.508
Mg 4.302 3.089 2.764
Mg 4.302 -3.089 2.764
Mg 9.172 0.000 0.020
Mg 7.389 0.000 2.881
Mg 6.040 -4.503 0.000
Tl -1.738 0.000 2.764
Tl 1.282 3.069 2.764
Tl 1.282 -3.069 2.764
Tl 6.040 0.000 0.000
Pb 3.020 3.069 0.000
Pb 3.020 -3.069 0.000
Pb 4.302 0.000 2.764
```

## Properties
DOS(E_F)   0.53 states/eV per atom
E_tot   -32.3 eV per formula unit
Formation energy   71 meV/atom
Calculated volume   27.3 A^3/atom
Space-group type   C2/m